Entry 1:
VASP calculation (PBE) on HfCuB after structural relaxation.

a b c (Å): 3.123 7.843 3.407
angles (deg): 89.97 90.00 101.45
Fractional coordinates of all 6 atoms:
B (0.128, 0.475, 0.650)
B (0.580, 0.379, 0.650)
Hf (0.695, 0.608, 0.150)
Hf (0.014, 0.246, 0.150)
Cu (0.860, 0.927, 0.660)
Cu (0.359, 0.927, 0.161)

Calculated values
- Density: 10267 kg/m³

***

Entry 2:
VASP calculation (PBE) on HfCuB after structural relaxation.

a b c (Å): 6.621 4.637 5.211
angles (deg): 90.00 90.00 90.00
Fractional coordinates of all 12 atoms:
B (0.833, 0.250, 0.552)
B (0.667, 0.750, 0.052)
B (0.167, 0.750, 0.448)
B (0.333, 0.250, 0.948)
Hf (0.172, 0.250, 0.362)
Hf (0.328, 0.750, 0.862)
Hf (0.828, 0.750, 0.638)
Hf (0.672, 0.250, 0.138)
Cu (0.031, 0.250, 0.863)
Cu (0.469, 0.750, 0.363)
Cu (0.969, 0.750, 0.137)
Cu (0.531, 0.250, 0.637)

Calculated values
- Density: 10498 kg/m³

***

ΔE_f
In order: -0.32 -0.22
Unit: eV/atom